1.
This record from the Alexandria database describes crystalline Na3Hg2Pd4 at its relaxed geometry. The functional is PBE.

Values from the calculation:
Volume in Å³/cell: 407.7
Energy of formation in eV per atom: -0.154
Size of the total moment in Bohr magnetons per cell: 0.00

```
data_Na3Hg2Pd4
_chemical_formula_sum 'Na6 Hg4 Pd8'
_space_group_name_H-M_alt 'C 1 2/m 1'
_space_group_IT_number 12
_cell_length_a 10.256
_cell_length_b 4.637
_cell_length_c 8.648
_cell_angle_alpha 90.00
_cell_angle_beta 97.54
_cell_angle_gamma 90.00
loop_
_space_group_symop_operation_xyz
'x,y,z'
'-x,-y,-z'
'-x,y,-z'
'x,-y,z'
'x+1/2,y+1/2,z'
'-x+1/2,-y+1/2,-z'
'-x+1/2,y+1/2,-z'
'x+1/2,-y+1/2,z'
loop_
_atom_site_label
_atom_site_type_symbol
_atom_site_fract_x
_atom_site_fract_y
_atom_site_fract_z
Na1 Na 0.000 0.000 0.000
Na2 Na 0.123 0.500 0.384
Hg1 Hg 0.187 0.500 0.758
Pd1 Pd 0.085 0.000 0.629
Pd2 Pd 0.245 0.500 0.084
```

=====

2.
This record from the Alexandria database describes crystalline Na3Hg9Pd2 at its relaxed geometry. The functional is PBE.

Values from the calculation:
Volume in Å³/cell: 665.5
Energy of formation in eV per atom: -0.154
Size of the total moment in Bohr magnetons per cell: 0.00

```
data_Na3Hg9Pd2
_chemical_formula_sum 'Na6 Hg18 Pd4'
_space_group_name_H-M_alt 'I m m m'
_space_group_IT_number 71
_space_group_name_Hall '-I 2 2'
_cell_length_a 4.737
_cell_length_b 11.170
_cell_length_c 12.576
_cell_angle_alpha 90.00
_cell_angle_beta 90.00
_cell_angle_gamma 90.00
loop_
_atom_site_label
_atom_site_type_symbol
_atom_site_fract_x
_atom_site_fract_y
_atom_site_fract_z
Na1 Na 0.000 0.000 0.000
Na2 Na 0.000 0.000 0.293
Hg1 Hg 0.000 0.290 0.140
Hg2 Hg 0.000 0.368 0.373
Hg3 Hg 0.000 0.500 0.000
Pd1 Pd 0.000 0.144 0.500
```

=====

3.
This record from the Alexandria database describes crystalline Na2Hg5Pd4 at its relaxed geometry. The functional is PBE.

Values from the calculation:
Volume in Å³/cell: 487.5
Energy of formation in eV per atom: -0.154
Size of the total moment in Bohr magnetons per cell: 0.00

```
data_Na2Hg5Pd4
_chemical_formula_sum 'Na4 Hg10 Pd8'
_space_group_name_H-M_alt 'I m m m'
_space_group_IT_number 71
_space_group_name_Hall '-I 2 2'
_cell_length_a 5.875
_cell_length_b 9.051
_cell_length_c 9.168
_cell_angle_alpha 90.00
_cell_angle_beta 90.00
_cell_angle_gamma 90.00
loop_
_atom_site_label
_atom_site_type_symbol
_atom_site_fract_x
_atom_site_fract_y
_atom_site_fract_z
Na1 Na 0.000 0.222 0.000
Hg1 Hg 0.000 0.500 0.500
Hg2 Hg 0.249 0.000 0.305
Pd1 Pd 0.000 0.260 0.318
```

=====

4.
This record from the Alexandria database describes crystalline Na2Hg3Pd2 at its relaxed geometry. The functional is PBE.

Values from the calculation:
Volume in Å³/cell: 316.5
Energy of formation in eV per atom: -0.214
Size of the total moment in Bohr magnetons per cell: 0.00

```
data_Na2Hg3Pd2
_chemical_formula_sum 'Na4 Hg6 Pd4'
_space_group_name_H-M_alt 'C 1 2/m 1'
_space_group_IT_number 12
_cell_length_a 10.412
_cell_length_b 4.576
_cell_length_c 7.251
_cell_angle_alpha 90.00
_cell_angle_beta 113.62
_cell_angle_gamma 90.00
loop_
_space_group_symop_operation_xyz
'x,y,z'
'-x,-y,-z'
'-x,y,-z'
'x,-y,z'
'x+1/2,y+1/2,z'
'-x+1/2,-y+1/2,-z'
'-x+1/2,y+1/2,-z'
'x+1/2,-y+1/2,z'
loop_
_atom_site_label
_atom_site_type_symbol
_atom_site_fract_x
_atom_site_fract_y
_atom_site_fract_z
Na1 Na 0.153 0.000 0.284
Hg1 Hg 0.000 0.500 0.500
Hg2 Hg 0.128 0.500 0.953
Pd1 Pd 0.127 0.000 0.700
```

=====

> Which of these has the highest volume?

Na3Hg9Pd2

=====

> Which formula does entry 2 have?

Na3Hg9Pd2

=====

> Which value of size of the total moment does entry 4 give?

0.00 Bohr magnetons per cell